[1]
Material: ReRuBr2
Method: DFT, PBE
State: optimized geometry

Structure (POSCAR):
```
ReRuBr2
1.0
3.0090 0.0000 0.0000
0.0000 3.0090 0.0000
0.0000 0.0000 8.9076
Br Re Ru
2 1 1
direct
0.0000 0.0000 0.9282
0.5000 0.5000 0.3289
0.0000 0.0000 0.5346
0.5000 0.5000 0.7083
```

E_form (uncorrected) in eV/atom: 0.390
Space-group type: No. 99
Excess energy over the best structure of this formula in the dataset in kJ per mole of atoms: 11.6

---

[2]
Material: LiNi6Ge3
Method: DFT, PBE
State: optimized geometry

Structure (POSCAR):
```
LiNi6Ge3
1.0
-4.6088 3.6146 -0.6032
-3.9702 -4.5401 3.1286
2.4627 3.9641 4.9381
Ge Ni Li
6 12 2
direct
0.9429 0.7113 0.9538
0.8270 0.5642 0.4358
0.4429 0.2887 0.0462
0.9429 0.0462 0.2887
0.3270 0.4358 0.5642
0.4429 0.9538 0.7113
0.2998 0.5581 0.9343
0.1251 0.3388 0.2513
0.7998 0.4419 0.0657
0.2998 0.0657 0.4419
0.7594 0.0363 0.9637
0.6251 0.2513 0.3388
0.1251 0.7487 0.6612
0.1027 0.7241 0.2759
0.7998 0.9343 0.5581
0.2594 0.9637 0.0363
0.6027 0.2759 0.7241
0.6251 0.6612 0.7487
0.5607 0.7878 0.2122
0.0607 0.2122 0.7878
```

E_form in eV/atom: -0.21
Space-group type: No. 36

---

[3]
Material: DyTm10Sc4
Method: DFT, PBE
State: optimized geometry

Structure (POSCAR):
```
DyTm10Sc4
1.0
8.2308 0.0000 3.7166
4.1154 7.3138 1.8583
1.1055 0.0000 8.5240
Tm Sc Dy
10 4 1
direct
0.6069 0.0886 0.3317
0.2500 0.5000 0.5000
0.9386 0.6683 0.0886
0.6954 0.3317 0.9114
0.7500 0.5000 0.5000
0.3931 0.9114 0.6683
0.3046 0.6683 0.0886
0.0271 0.9114 0.6683
0.9729 0.0886 0.3317
0.0614 0.3317 0.9114
0.2643 0.2724 0.1990
0.5367 0.1990 0.7276
0.4633 0.8010 0.2724
0.7357 0.7276 0.8010
0.0000 0.0000 0.0000
```

E_form in eV/atom: 0.58
Space-group type: No. 87

---

[4]
Material: LiThOs
Method: DFT, PBE
State: optimized geometry

Structure (POSCAR):
```
LiThOs
1.0
-3.8065 1.0718 0.6562
-0.9512 -1.0889 -3.7388
-1.5668 -7.0645 2.4573
Th Os Li
2 2 2
direct
0.2499 0.7501 0.6597
0.7501 0.2499 0.3403
0.7499 0.2501 0.7308
0.2501 0.7499 0.2692
0.7499 0.7499 0.0000
0.2501 0.2501 0.0000
```

E_form in eV/atom: -0.18
Space-group type: No. 129

---

[5]
Material: CdRePt2
Method: DFT, PBE
State: optimized geometry

Structure (POSCAR):
```
CdRePt2
1.0
2.7606 0.0000 0.0000
0.0000 4.9689 0.0000
0.0000 0.0000 4.8494
Cd Pt Re
1 2 1
direct
0.0000 0.5000 0.5000
0.0000 0.0000 0.0000
0.5000 0.5000 0.0000
0.5000 0.0000 0.5000
```

E_form in eV/atom: 0.35
Space-group type: No. 47

---

[6]
Material: CeMgAl2Ag4
Method: DFT, PBE
State: optimized geometry

Structure (POSCAR):
```
CeMgAl2Ag4
1.0
-3.4005 -2.5282 1.6736
-1.6961 -3.4459 -2.4506
4.1656 -7.4681 3.3833
Ag Al Ce Mg
4 2 1 1
direct
0.8699 0.8699 0.3902
0.3983 0.3983 0.8052
0.1301 0.1301 0.6098
0.6017 0.6017 0.1948
0.7532 0.7532 0.7405
0.2468 0.2468 0.2595
0.0000 0.0000 0.0000
0.5000 0.5000 0.5000
```

E_form in eV/atom: -0.17
Space-group type: No. 166

---

[7]
Material: Y3TaMn
Method: DFT, PBE
State: optimized geometry

Structure (POSCAR):
```
Y3TaMn
1.0
-3.8421 -0.8383 -3.2375
0.1304 -4.9649 1.1308
-3.3417 0.7701 3.7664
Ta Mn Y
1 1 3
direct
0.5000 0.5000 0.5000
0.0000 0.0000 0.0000
0.0000 0.5000 0.0000
0.5000 0.0000 0.0000
0.0000 0.0000 0.5000
```

E_form in eV/atom: 0.86
Space-group type: No. 221
Excess energy over the best structure of this formula in the dataset in kJ per mole of atoms: 0.0

---

[8]
Material: Sr6HBr3N2
Method: DFT, PBE
State: optimized geometry

Structure (POSCAR):
```
Sr6HBr3N2
1.0
6.9262 0.0151 -0.0075
-3.4483 6.0068 -0.0075
-1.1679 -2.0222 7.4639
Br Sr N H
3 6 2 1
direct
0.8363 0.1637 0.5000
0.1637 0.8363 0.5000
0.5000 0.5000 0.5000
0.4165 0.0617 0.1892
0.5835 0.9383 0.8108
0.7066 0.7066 0.1891
0.0617 0.4165 0.1892
0.9383 0.5835 0.8108
0.2934 0.2934 0.8109
0.6675 0.3325 0.0000
0.3325 0.6675 0.0000
0.0000 0.0000 0.0000
```

Total energy in eV per atom: -4.001
Space-group type: No. 12

---

no.,total magnetization (μB per cell)
1,0.0
2,0.0
3,0.0
4,0.0
5,0.7
6,0.9
7,0.7
8,2.0